The following is a DFT calculation (PBE) of Ba3ZnSi2 after structural relaxation.

The space group is P2_1/c (No. 14) and the conventional cell measures 7.988, 11.421 and 10.622 Å, with angles of 90.00, 109.59 and 90.00 degrees. Symmetry generates all atoms from Ba at (0.206, 0.024, 0.387), Ba at (0.246, 0.063, 0.978), Ba at (0.291, 0.724, 0.187), Zn at (0.218, 0.180, 0.673), Si at (0.033, 0.704, 0.378) and Si at (0.449, 0.044, 0.726).

The calculation puts the density at 3.9 Mg/m³. For the uncorrected formation energy, the calculation gives -0.3021 eV per atom.

---

The following is a DFT calculation (PBE) of BaZn3Si after structural relaxation.

The space group is Pm-3m (No. 221) and the conventional cell measures 4.993, 4.993 and 4.993 Å, with angles of 90.00, 90.00 and 90.00 degrees. Symmetry generates all atoms from Ba at (0.000, 0.000, 0.000), Zn at (0.000, 0.500, 0.500) and Si at (0.500, 0.500, 0.500).

The offset from the most stable computed form is 0.258 eV per atom. The calculation puts the density at 4.8 Mg/m³. The value obtained for the density of states at the Fermi level is 4.06 states/eV per cell. For the uncorrected formation energy, the calculation gives 0.0825 eV per atom.

---

- Among the records above, which one has the highest density?
  BaZn3Si